{
  "formula": "PaIn2HgI6",
  "functional": "PBE",
  "state": "relaxed",
  "cell": [[8.584, 0.000, 0.000], [-4.292, 7.447, 0.000], [-4.292, -2.480, 7.996]],
  "species": ["Pa", "In", "In", "Hg", "I", "I", "I", "I", "I", "I"],
  "fractional_positions": [[0.000, 0.000, 0.000], [0.309, 0.654, 0.965], [0.356, 0.178, 0.533], [0.999, 0.499, 0.499], [0.160, 0.206, 0.786], [0.197, 0.383, 0.225], [0.412, 0.028, 0.225], [0.579, 0.954, 0.786], [0.832, 0.626, 0.786], [0.843, 0.814, 0.226]],
  "e_tot_ev_per_fu": -31.2,
  "magnetic_moment_mub_per_cell": 1.0,
  "e_form_raw_mev_per_atom": -660
}

***

{
  "formula": "BaAcSbCl",
  "functional": "PBE",
  "state": "relaxed",
  "cell": [[0.000, 4.043, 4.043], [4.043, 0.000, 4.043], [4.043, 4.043, 0.000]],
  "species": ["Ba", "Ac", "Sb", "Cl"],
  "fractional_positions": [[0.000, 0.000, 0.000], [0.500, 0.500, 0.500], [0.750, 0.750, 0.750], [0.250, 0.250, 0.250]],
  "e_tot_ev_per_fu": -17.3,
  "magnetic_moment_mub_per_cell": 0.0,
  "e_form_raw_mev_per_atom": -1326,
  "relative_energy_ev_per_atom": 0.074
}

***

{
  "formula": "NdTh2Sc",
  "functional": "PBE",
  "state": "relaxed",
  "cell": [[3.570, 0.000, 0.000], [0.000, 3.569, 0.000], [-0.001, 0.000, 19.541]],
  "species": ["Nd", "Nd", "Th", "Th", "Th", "Th", "Sc", "Sc"],
  "fractional_positions": [[0.249, 0.250, 0.075], [0.751, 0.750, 0.925], [0.250, 0.250, 0.563], [0.251, 0.250, 0.798], [0.749, 0.750, 0.202], [0.750, 0.750, 0.437], [0.249, 0.250, 0.318], [0.751, 0.750, 0.682]],
  "e_tot_ev_per_fu": -25.8,
  "magnetic_moment_mub_per_cell": 0.0,
  "relative_energy_ev_per_atom": 0.000,
  "formation_energy_ev_per_atom": 0.0427
}

***

{
  "formula": "InCuP2",
  "functional": "PBE",
  "state": "relaxed",
  "cell": [[3.197, 0.000, 0.000], [0.000, 3.197, 0.000], [0.000, 0.000, 6.789]],
  "species": ["In", "Cu", "P", "P"],
  "fractional_positions": [[0.000, 0.000, 0.000], [0.500, 0.500, 0.740], [0.000, 0.000, 0.523], [0.500, 0.500, 0.386]],
  "e_tot_ev_per_fu": -16.6,
  "magnetic_moment_mub_per_cell": 0.0,
  "formation_energy_ev_per_atom": 0.2606
}